Here is a relaxed structure of La2TbDy3Tm6 from Alexandria. Energies are from PBE.

```
La2TbDy3Tm6
1.0
6.160 0.001 0.004
-3.078 5.336 0.004
-1.032 -1.787 11.521
Tb Tm La Dy
1 6 2 3
Direct
0.000 0.000 0.000
0.915 0.582 0.746
0.753 0.753 0.254
0.418 0.085 0.254
0.085 0.418 0.254
0.582 0.915 0.746
0.247 0.247 0.746
0.334 0.666 0.000
0.666 0.334 0.000
0.167 0.833 0.500
0.833 0.167 0.500
0.500 0.500 0.500
```

- Theoretical density: 8.50 g cm⁻³
- DFT total energy: -4.57 eV/atom